1.
Here is DyInGa2S6 after structural relaxation from the Alexandria database. Energies are from PBE-GGA.

Properties
Its formation energy (no corrections) is -939 meV/atom.

Cell: 12.343 11.706 6.593 Å, 90.00 101.84 90.00°
Space group C2/c (No. 15)
Unique sites:
1 Dy 0.000 0.098 0.250 [4 per cell]
2 In 0.000 0.283 0.750 [4 per cell]
3 Ga 0.189 0.415 0.287 [8 per cell]
4 S 0.117 0.091 0.648 [8 per cell]
5 S 0.127 0.254 0.104 [8 per cell]
6 S 0.141 0.419 0.609 [8 per cell]

=====

2.
Here is TbPm2Dy9 after structural relaxation from the Alexandria database. Energies are from PBE-GGA.

Properties
As for the energy above the most stable polymorph in this dataset: 0.0 meV/atom.

Cell: 5.037 5.037 15.096 Å, 90.00 90.00 90.00°
Space group P4/mmm (No. 123)
Unique sites:
1 Tb 0.000 0.000 0.000 [1 per cell]
2 Pm 0.000 0.000 0.333 [2 per cell]
3 Dy 0.000 0.500 0.165 [4 per cell]
4 Dy 0.000 0.500 0.500 [2 per cell]
5 Dy 0.500 0.500 0.000 [1 per cell]
6 Dy 0.500 0.500 0.333 [2 per cell]

=====

3.
Here is ThCoP2Rh2 after structural relaxation from the Alexandria database. Energies are from PBE-GGA.

Cell: 3.904 3.904 13.653 Å, 90.00 90.00 90.00°
Space group I4/mmm (No. 139)
Unique sites:
1 Th 0.000 0.000 0.000 [2 per cell]
2 Co 0.000 0.000 0.500 [2 per cell]
3 P 0.000 0.000 0.346 [4 per cell]
4 Rh 0.000 0.500 0.250 [4 per cell]

=====

4.
Here is TmAlIrO6 after structural relaxation from the Alexandria database. Energies are from PBE-GGA.

Properties
Its formation energy (no corrections) is -1925 meV/atom.

Cell: 5.1732 5.1732 8.5708 Å, 90.00 90.00 120.00°
Space group P-31c (No. 163)
Unique sites:
1 Tm 0.3333 0.6667 0.2500 [2 per cell]
2 Al 0.0000 0.0000 0.0000 [2 per cell]
3 Ir 0.3333 0.6667 0.7500 [2 per cell]
4 O 0.0372 0.3393 0.6186 [12 per cell]

=====

no.,DFT total energy (eV per atom)
1,-4.755
2,-4.609
3,-7.488
4,-7.128